Entry one
The following is a PBE-GGA calculation of Al2V2Cd after structural relaxation, from Alexandria via LeMat-Bulk.

Computed properties:
Magnetic moment in μB/atom: 0.000
Volume in Å³ per atom: 16.5
N(E_F) in states/eV/f.u.: 4.5

a = 7.5929 Å, b = 7.5929 Å, c = 2.8602 Å
α = 90.00°, β = 90.00°, γ = 90.00°
With the nearest neighbours (Å) after each atom.
Fractional positions:
Al1 0.1847 0.3153 0.0000  6 V 2.64-2.71, 2 Al 2.86
Al2 0.3153 0.8153 0.0000  6 V 2.64-2.71, 2 Al 2.86
Al3 0.6847 0.1847 0.0000  6 V 2.64-2.71, 2 Al 2.86
Al4 0.8153 0.6847 0.0000  6 V 2.64-2.71, 2 Al 2.86
V1 0.1090 0.6090 0.5000  1 V 2.34
V2 0.3910 0.1090 0.5000  1 V 2.34
V3 0.6090 0.8910 0.5000  1 V 2.34
V4 0.8910 0.3910 0.5000  1 V 2.34
Cd1 0.0000 0.0000 0.5000  2 Cd 2.86, 4 V 3.08, 8 Al 3.12
Cd2 0.5000 0.5000 0.5000  2 Cd 2.86, 4 V 3.08, 8 Al 3.12

Entry two
The following is a PBE-GGA calculation of Al2V2Cd after structural relaxation, from Alexandria via LeMat-Bulk.

Computed properties:
Magnetic moment in μB/atom: 0.564
Volume in Å³ per atom: 16.2
N(E_F) in states/eV/f.u.: 3.7

a = 7.1759 Å, b = 7.1759 Å, c = 3.1382 Å
α = 90.00°, β = 90.00°, γ = 90.00°
With the nearest neighbours (Å) after each atom.
Fractional positions:
Al1 0.1256 0.3744 0.0000  1 Al 2.55, 6 V 2.59-2.66, 2 Cd 2.83
Al2 0.3744 0.8744 0.0000  1 Al 2.55, 6 V 2.59-2.66, 2 Cd 2.83
Al3 0.6256 0.1256 0.0000  1 Al 2.55, 6 V 2.59-2.66, 2 Cd 2.83
Al4 0.8744 0.6256 0.0000  1 Al 2.55, 6 V 2.59-2.66, 2 Cd 2.83
V1 0.1708 0.6708 0.5000  6 Al 2.59-2.66
V2 0.3292 0.1708 0.5000  6 Al 2.59-2.66
V3 0.6708 0.8292 0.5000  6 Al 2.59-2.66
V4 0.8292 0.3292 0.5000  6 Al 2.59-2.66
Cd1 0.0000 0.0000 0.0000  4 Al 2.83, 8 V 3.09, 2 Cd 3.14
Cd2 0.5000 0.5000 0.0000  4 Al 2.83, 8 V 3.09, 2 Cd 3.14

entry one (22 meV/atom below the next structure)

Entry one
The following is a PBE-GGA calculation of AlCd3W after structural relaxation, from Alexandria via LeMat-Bulk.

Computed properties:
Magnetic moment in μB/atom: 0.919
Volume in Å³ per atom: 26.3
N(E_F) in states/eV/f.u.: 5.0

a = 5.0837 Å, b = 5.0837 Å, c = 5.0837 Å
α = 90.00°, β = 90.00°, γ = 90.00°
With the nearest neighbours (Å) after each atom.
Fractional positions:
Al1 0.0000 0.0000 0.0000  6 Cd 2.54
Cd1 0.0000 0.0000 0.5000  2 Al 2.54
Cd2 0.0000 0.5000 0.0000  2 Al 2.54
Cd3 0.5000 0.0000 0.0000  2 Al 2.54
W1 0.5000 0.5000 0.5000  12 Cd 3.59

Entry two
The following is a PBE-GGA calculation of AlCd3W after structural relaxation, from Alexandria via LeMat-Bulk.

Computed properties:
Magnetic moment in μB/atom: 0.465
Volume in Å³ per atom: 31.2
N(E_F) in states/eV/f.u.: 6.3

a = 5.3851 Å, b = 5.3851 Å, c = 5.3851 Å
α = 90.00°, β = 90.00°, γ = 90.00°
With the nearest neighbours (Å) after each atom.
Fractional positions:
Al1 0.0000 0.0000 0.0000  12 Cd 3.81
Cd1 0.0000 0.5000 0.5000  2 W 2.69
Cd2 0.5000 0.0000 0.5000  2 W 2.69
Cd3 0.5000 0.5000 0.0000  2 W 2.69
W1 0.5000 0.5000 0.5000  6 Cd 2.69

entry two (131 meV/atom below the next structure)

Entry one
The following is a PBE-GGA calculation of Al3ZnCd after structural relaxation, from Alexandria via LeMat-Bulk.

Computed properties:
Magnetic moment in μB/atom: 0.000
Volume in Å³ per atom: 26.6
N(E_F) in states/eV/f.u.: 2.8

a = 5.1021 Å, b = 5.1021 Å, c = 5.1021 Å
α = 90.00°, β = 90.00°, γ = 90.00°
With the nearest neighbours (Å) after each atom.
Fractional positions:
Al1 0.0000 0.0000 0.5000  2 Cd 2.55
Al2 0.0000 0.5000 0.0000  2 Cd 2.55
Al3 0.5000 0.0000 0.0000  2 Cd 2.55
Zn1 0.5000 0.5000 0.5000  12 Al 3.61
Cd1 0.0000 0.0000 0.0000  6 Al 2.55

Entry two
The following is a PBE-GGA calculation of Al3ZnCd after structural relaxation, from Alexandria via LeMat-Bulk.

Computed properties:
Magnetic moment in μB/atom: 0.000
Volume in Å³ per atom: 22.3
N(E_F) in states/eV/f.u.: 2.4

a = 4.8153 Å, b = 4.8153 Å, c = 4.8153 Å
α = 90.00°, β = 90.00°, γ = 90.00°
With the nearest neighbours (Å) after each atom.
Fractional positions:
Al1 0.0000 0.0000 0.5000  2 Zn 2.41
Al2 0.0000 0.5000 0.0000  2 Zn 2.41
Al3 0.5000 0.0000 0.0000  2 Zn 2.41
Zn1 0.0000 0.0000 0.0000  6 Al 2.41
Cd1 0.5000 0.5000 0.5000  12 Al 3.40

entry two (345 meV/atom below the next structure)